SrTaPt: relaxed, GGA-PBE.

Unit cell a=6.7257 b=6.7257 c=6.7257 alpha=90.00 beta=90.00 gamma=90.00
Space group F-43m (No. 216)
Symmetry-distinct sites (fractional):
Sr: 0.0000 0.0000 0.0000
Ta: 0.0000 0.0000 0.5000
Pt: 0.2500 0.2500 0.2500

Output
V: 304.2 Å³ per cell
DFT total energy: -18.2 eV per formula unit
Excess energy over the best structure of this formula in the dataset: 0 meV per atom



SrTbPt: relaxed, GGA-PBE.

Unit cell a=7.0959 b=7.0959 c=7.0959 alpha=90.00 beta=90.00 gamma=90.00
Space group F-43m (No. 216)
Symmetry-distinct sites (fractional):
Sr: 0.0000 0.0000 0.0000
Tb: 0.0000 0.0000 0.5000
Pt: 0.2500 0.2500 0.2500

Output
V: 357.3 Å³ per cell
DFT total energy: -14.2 eV per formula unit



SrTcPt: relaxed, GGA-PBE.

Unit cell a=6.7216 b=6.7216 c=6.7216 alpha=90.00 beta=90.00 gamma=90.00
Space group F-43m (No. 216)
Symmetry-distinct sites (fractional):
Sr: 0.0000 0.0000 0.0000
Tc: 0.2500 0.2500 0.2500
Pt: 0.2500 0.2500 0.7500

Output
V: 303.7 Å³ per cell
DFT total energy: -14.2 eV per formula unit
Excess energy over the best structure of this formula in the dataset: 717 meV per atom